Entry from Alexandria: a geometry-optimized Zn2Bi2N structure (PBE-GGA).

```
Zn2Bi2N
1.0
6.859 0.000 0.000
0.000 6.859 0.000
0.000 0.000 4.827
N Bi Zn
2 4 4
Direct
0.000 0.000 0.000 N
0.500 0.500 0.000 N
0.796 0.704 0.000 Bi
0.204 0.296 0.000 Bi
0.296 0.796 0.000 Bi
0.704 0.204 0.000 Bi
0.132 0.632 0.500 Zn
0.868 0.368 0.500 Zn
0.368 0.132 0.500 Zn
0.632 0.868 0.500 Zn
```

Summary:
- Symmetry: P4/mbm, No. 127
- Raw total energy: -3.04 eV/atom
- ΔE_f (raw): 0.688 eV per atom
- Energy above the most stable polymorph in this dataset: 0 meV per atom
- Crystal system: tetragonal